This record from Alexandria describes an optimized crystal structure of Pr8SiRh3I4. The functional is PBE.

Cell lengths 8.5605, 8.5605, 24.2627 Å; angles 90.00, 90.00, 120.00 degrees
Space group R-3m (No. 166, hexagonal axes)
One atom of each set of equivalent atoms:
Pr  0.0000  0.0000  0.2302 x6
Pr  0.0101  0.5051  0.7712 x18
Si  0.0000  0.0000  0.5000 x3
Rh  0.0000  0.5000  0.5000 x9
I  0.0000  0.0000  0.0000 x3
I  0.0000  0.5000  0.0000 x9

total moment: 0.00 μB/f.u.
uncorrected formation energy: -14.1 eV per formula unit


This record from Alexandria describes an optimized crystal structure of Pr8Si3RhI4. The functional is PBE.

Cell lengths 8.7048, 8.7048, 23.3995 Å; angles 90.00, 90.00, 120.00 degrees
Space group R-3m (No. 166, hexagonal axes)
One atom of each set of equivalent atoms:
Pr  0.0000  0.0000  0.2333 x6
Pr  0.0065  0.5033  0.2311 x18
Si  0.0000  0.5000  0.5000 x9
Rh  0.0000  0.0000  0.5000 x3
I  0.0000  0.0000  0.0000 x3
I  0.0000  0.5000  0.0000 x9

total moment: 0.00 μB/f.u.
uncorrected formation energy: -14.5 eV per formula unit